(1)
A plane-wave DFT calculation with PBE-GGA was carried out for a relaxed structure of TbNdMgTc.

## Properties
For the formation enthalpy at 0 K, the calculation gives 0.056 eV/atom.

```
TbNdMgTc
1.0
-4.5719 1.9645 -1.2117
-4.1914 -1.5262 2.5165
-2.3514 3.1990 3.2352
Mg Tc Tb Nd
1 1 1 1
Cartesian
0.0000 0.0000 0.0000 Mg
-5.5574 1.8187 2.2700 Tc
-2.7787 0.9093 1.1350 Tb
-8.3360 2.7280 3.4050 Nd
```

=====

(2)
A plane-wave DFT calculation with PBE-GGA was carried out for a relaxed structure of TbNd2MgTe5.

## Properties
The raw formation energy comes out at -1.24 eV per atom.

```
TbNd2MgTe5
1.0
-3.9716 -1.7921 0.0282
4.5947 -4.9963 -7.0329
4.1662 -9.0889 9.1788
Te Nd Tb Mg
10 4 2 2
Cartesian
5.8217 -12.8995 0.1707 Te
6.0639 -13.3752 4.0544 Te
0.5736 -1.2712 0.0000 Te
4.2725 -9.4343 2.1894 Te
2.5259 -10.8141 5.1586 Te
-0.8107 -3.4614 2.4918 Te
-0.1398 -5.0104 -1.4621 Te
3.0776 -6.8393 -1.1908 Te
2.7633 -11.4375 -1.0258 Te
0.8008 -7.0296 2.6919 Te
3.4299 -7.5275 4.6934 Nd
1.9605 -4.3308 0.9030 Nd
0.7997 -7.1286 -3.7526 Nd
3.2704 -12.5100 2.2441 Nd
1.6877 -9.0287 0.5601 Tb
1.1147 -2.5139 -2.7636 Tb
2.2787 -10.2208 8.0385 Mg
4.2300 -9.4073 -2.0765 Mg
```

=====

(3)
A plane-wave DFT calculation with PBE-GGA was carried out for a relaxed structure of Tb2Nd4ThMg.

## Properties
For the formation enthalpy at 0 K, the calculation gives 0.092 eV/atom.

```
Tb2Nd4ThMg
1.0
-1.7277 5.6078 0.8788
-5.9827 -0.6920 -7.3450
-5.6675 -1.7456 -0.0030
Nd Th Tb Mg
4 1 2 1
Cartesian
-6.6148 1.3332 -1.4821 Nd
-4.6431 5.0099 -1.0374 Nd
-8.7349 -1.8398 -5.4319 Nd
-6.7631 1.8369 -4.9871 Nd
-5.8251 -1.2188 -3.6740 Th
-3.6976 1.9311 0.4379 Tb
-5.6675 -1.7456 -0.0031 Tb
-9.5227 0.7122 -3.2362 Mg
```

=====

| no. | E_tot (eV per atom) |
| --- | --- |
| 1 | -5.283 |
| 2 | -4.741 |
| 3 | -4.576 |